## InNi2BRh (PBE-GGA)

Data for crystalline InNi2BRh at its relaxed geometry.

Structure (extended XYZ):
```
5
Lattice="3.956 0.000 0.000 0.000 3.956 0.000 0.000 0.000 4.100" Properties=species:S:1:pos:R:3 pbc="T T T"
Ni 0.000 1.978 0.000
Ni 1.978 0.000 0.000
In 1.978 1.978 2.050
B 0.000 0.000 0.000
Rh 0.000 0.000 2.050
```

Results
**DFT formation energy**: -275 meV per atom
**Density**: 8.95 Mg/m³